Entry 1:
A plane-wave DFT calculation with GGA-PBE was carried out for a relaxed structure of YAg4Os.

V (Å³/cell): 113.6
Total magnetic moment (μB/cell): 0.0
Formation energy from the elements (eV/atom): 0.32
Symmetry: F-43m (216)

a b c (Å): 5.4354 5.4354 5.4354
angles (deg): 60.00 60.00 60.00
Last column: nearest neighbours and their distance in Å.
Positions (direct):
Y  0.0000  0.0000  0.0000  12 Ag 3.19, 4 Os 3.33
Ag  0.8735  0.3755  0.3755  6 Ag 2.71-2.73
Ag  0.3755  0.3755  0.8735  6 Ag 2.71-2.73
Ag  0.3755  0.8735  0.3755  6 Ag 2.71-2.73
Ag  0.3755  0.3755  0.3755  6 Ag 2.71-2.73
Os  0.7500  0.7500  0.7500  12 Ag 3.19, 4 Y 3.33



Entry 2:
A plane-wave DFT calculation with GGA-PBE was carried out for a relaxed structure of YAgOs2.

V (Å³/cell): 72.1
Total magnetic moment (μB/cell): 0.0
Formation energy from the elements (eV/atom): 0.39
Energy relative to the lowest polymorph listed for this composition (meV/atom): 147.5
Symmetry: Cm (8)

a b c (Å): 4.9365 4.9365 5.2222
angles (deg): 79.37 79.37 35.30
Last column: nearest neighbours and their distance in Å.
Positions (direct):
Ag  0.2575  0.2575  0.2446  5 Os 2.75-3.04, 3 Y 2.79-2.96, 2 Ag 2.99
Os  0.0067  0.0067  0.9533  3 Os 2.65-2.75, 2 Y 2.85, 2 Ag 2.94
Os  0.7405  0.7405  0.8095  3 Os 2.65-2.75, 2 Ag 2.75
Y  0.4953  0.4953  0.4926  3 Ag 2.79-2.96, 5 Os 2.85-3.09, 2 Y 2.99



Entry 3:
A plane-wave DFT calculation with GGA-PBE was carried out for a relaxed structure of YAgOs2.

V (Å³/cell): 72.9
Total magnetic moment (μB/cell): 0.0
Formation energy from the elements (eV/atom): 0.42
Energy relative to the lowest polymorph listed for this composition (meV/atom): 182.5
Symmetry: Imm2 (44)

a b c (Å): 5.7132 5.7132 5.7132
angles (deg): 148.89 130.24 59.85
Last column: nearest neighbours and their distance in Å.
Positions (direct):
Ag  0.2300  0.7300  0.5000  6 Os 2.87-2.89, 2 Ag 3.06, 2 Y 3.16
Os  0.9846  0.9846  0.0000  2 Os 2.57, 4 Y 2.86, 2 Ag 2.87
Os  0.7765  0.2765  0.5000  2 Os 2.57
Y  0.5088  0.5088  0.0000  6 Os 2.86-3.06, 2 Y 3.06, 2 Ag 3.16



Entry 4:
A plane-wave DFT calculation with GGA-PBE was carried out for a relaxed structure of Y4Ag3Os.

V (Å³/cell): 184.3
Total magnetic moment (μB/cell): 0.0
Formation energy from the elements (eV/atom): -0.29
Symmetry: P4/mmm (123)

a b c (Å): 3.5218 3.5218 14.8624
angles (deg): 90.00 90.00 90.00
Last column: nearest neighbours and their distance in Å.
Positions (direct):
Y  0.0000  0.0000  0.8890  4 Os 2.99, 4 Ag 3.20, 1 Y 3.30
Y  0.0000  0.0000  0.1110  4 Os 2.99, 4 Ag 3.20, 1 Y 3.30
Y  0.0000  0.0000  0.3722  8 Ag 3.12-3.13
Y  0.0000  0.0000  0.6278  8 Ag 3.12-3.13
Os  0.5000  0.5000  0.0000  8 Y 2.99
Ag  0.5000  0.5000  0.2457  8 Y 3.12-3.20
Ag  0.5000  0.5000  0.5000  8 Y 3.13
Ag  0.5000  0.5000  0.7543  8 Y 3.12-3.20



Entry 5:
A plane-wave DFT calculation with GGA-PBE was carried out for a relaxed structure of YAgOs2.

V (Å³/cell): 72.9
Total magnetic moment (μB/cell): 0.0
Formation energy from the elements (eV/atom): 0.24
Energy relative to the lowest polymorph listed for this composition (meV/atom): 0.0
Symmetry: Pm (6)

a b c (Å): 3.9058 2.9212 7.0141
angles (deg): 65.57 90.00 90.00
Last column: nearest neighbours and their distance in Å.
Positions (direct):
Ag  0.5000  0.7271  0.7730  5 Os 2.73-2.98, 2 Ag 2.92, 4 Y 3.05
Os  0.0000  0.9591  0.0408  6 Os 2.64-2.92, 1 Y 2.84
Os  0.5000  0.3001  0.2007  6 Os 2.64-2.92, 1 Ag 2.73
Y  0.0000  0.5137  0.4855  5 Os 2.84-3.05, 2 Y 2.92, 4 Ag 3.05



Entry 6:
A plane-wave DFT calculation with GGA-PBE was carried out for a relaxed structure of YAgOs2.

V (Å³/cell): 71.1
Total magnetic moment (μB/cell): 0.0
Formation energy from the elements (eV/atom): 0.60
Energy relative to the lowest polymorph listed for this composition (meV/atom): 359.9
Symmetry: Cmmm (65)

a b c (Å): 5.0190 5.0190 3.0553
angles (deg): 90.00 90.00 112.55
Last column: nearest neighbours and their distance in Å.
Positions (direct):
Ag  0.0000  0.5000  0.5000  2 Y 2.79, 8 Os 2.94, 2 Ag 3.06
Os  0.0000  0.0000  0.0000  4 Os 2.79-3.06, 4 Ag 2.94, 4 Y 2.94
Os  0.5000  0.5000  0.0000  4 Os 2.79-3.06, 4 Y 2.94, 4 Ag 2.94
Y  0.5000  0.0000  0.5000  2 Ag 2.79, 8 Os 2.94, 2 Y 3.06



Entry 7:
A plane-wave DFT calculation with GGA-PBE was carried out for a relaxed structure of Y3AgOs.

V (Å³/cell): 154.5
Total magnetic moment (μB/cell): 0.0
Formation energy from the elements (eV/atom): 0.04
Energy relative to the lowest polymorph listed for this composition (meV/atom): 306.4
Symmetry: Pm-3m (221)

a b c (Å): 5.3663 5.3663 5.3663
angles (deg): 90.00 90.00 90.00
Last column: nearest neighbours and their distance in Å.
Positions (direct):
Y  0.0000  0.5000  0.0000  2 Os 2.68
Y  0.0000  0.0000  0.5000  2 Os 2.68
Y  0.5000  0.0000  0.0000  2 Os 2.68
Os  0.0000  0.0000  0.0000  6 Y 2.68
Ag  0.5000  0.5000  0.5000  12 Y 3.79



Entry 8:
A plane-wave DFT calculation with GGA-PBE was carried out for a relaxed structure of YAgOs2.

V (Å³/cell): 168.0
Total magnetic moment (μB/cell): 0.0
Formation energy from the elements (eV/atom): 0.59
Energy relative to the lowest polymorph listed for this composition (meV/atom): 349.9
Symmetry: I-42d (122)

a b c (Å): 4.1379 4.1379 10.2407
angles (deg): 78.34 78.34 90.00
Last column: nearest neighbours and their distance in Å.
Positions (direct):
Y  0.5000  0.5000  0.0000  4 Ag 2.93, 4 Os 3.03
Y  0.2500  0.7500  0.5000  4 Ag 2.93, 4 Os 3.03
Os  0.7270  0.1250  0.2500  2 Os 2.40
Os  0.0230  0.6250  0.2500  2 Os 2.40
Os  0.3750  0.2730  0.7500  2 Os 2.40
Os  0.8750  0.9770  0.7500  2 Os 2.40
Ag  0.0000  0.0000  0.0000  4 Os 2.73, 4 Y 2.93
Ag  0.7500  0.2500  0.5000  4 Os 2.73, 4 Y 2.93



Entry 9:
A plane-wave DFT calculation with GGA-PBE was carried out for a relaxed structure of YAgOs2.

V (Å³/cell): 69.4
Total magnetic moment (μB/cell): 0.0
Formation energy from the elements (eV/atom): 0.72
Energy relative to the lowest polymorph listed for this composition (meV/atom): 483.1
Symmetry: R-3m (166)

a b c (Å): 10.0136 10.0136 10.0136
angles (deg): 16.36 16.36 16.36
Last column: nearest neighbours and their distance in Å.
Positions (direct):
Ag  0.7500  0.7500  0.7500  6 Ag 2.85, 6 Os 2.90
Os  0.0029  0.0029  0.0029  6 Os 2.85, 3 Ag 2.90, 3 Y 3.04
Os  0.4971  0.4971  0.4971  6 Os 2.85, 3 Ag 2.90, 3 Y 3.04
Y  0.2500  0.2500  0.2500  6 Y 2.85, 6 Os 3.04



Entry 10:
A plane-wave DFT calculation with GGA-PBE was carried out for a relaxed structure of YAgOs2.

V (Å³/cell): 71.1
Total magnetic moment (μB/cell): 0.0
Formation energy from the elements (eV/atom): 0.54
Energy relative to the lowest polymorph listed for this composition (meV/atom): 298.3
Symmetry: Immm (71)

a b c (Å): 5.6032 5.6032 5.6032
angles (deg): 147.56 130.50 60.43
Last column: nearest neighbours and their distance in Å.
Positions (direct):
Ag  0.2500  0.7500  0.5000  4 Y 2.82, 4 Os 2.87, 2 Ag 3.13
Os  0.0016  0.0016  0.0000  6 Os 2.82-3.13, 2 Ag 2.87, 2 Y 2.90
Os  0.4984  0.4984  0.0000  6 Os 2.82-3.13, 2 Ag 2.87, 2 Y 2.90
Y  0.7500  0.2500  0.5000  4 Ag 2.82, 4 Os 2.90, 2 Y 3.13



Entry 11:
A plane-wave DFT calculation with GGA-PBE was carried out for a relaxed structure of YAgOs2.

V (Å³/cell): 70.4
Total magnetic moment (μB/cell): 0.6
Formation energy from the elements (eV/atom): 0.41
Energy relative to the lowest polymorph listed for this composition (meV/atom): 174.5
Symmetry: P4/mmm (123)

a b c (Å): 4.3503 4.0216 4.0216
angles (deg): 90.00 90.00 90.00
Last column: nearest neighbours and their distance in Å.
Positions (direct):
Ag  0.5000  0.0000  0.5000  4 Y 2.84, 8 Os 2.96
Os  0.0000  0.0000  0.0000  4 Os 2.84, 4 Ag 2.96, 4 Y 2.96
Os  0.0000  0.5000  0.5000  4 Os 2.84, 4 Y 2.96, 4 Ag 2.96
Y  0.5000  0.5000  0.0000  4 Ag 2.84, 8 Os 2.96



Entry 12:
A plane-wave DFT calculation with GGA-PBE was carried out for a relaxed structure of Y8Ag2Os.

V (Å³/cell): 313.1
Total magnetic moment (μB/cell): 0.0
Formation energy from the elements (eV/atom): -0.10
Energy relative to the lowest polymorph listed for this composition (meV/atom): 79.9
Symmetry: Cm (8)

a b c (Å): 6.1669 8.7451 8.7451
angles (deg): 127.85 103.77 103.77
Last column: nearest neighbours and their distance in Å.
Positions (direct):
Y  0.6500  0.3848  0.1506  1 Os 2.81, 2 Ag 2.96-3.14
Y  0.6500  0.1506  0.3848  1 Os 2.81, 2 Ag 2.96-3.14
Y  0.1310  0.2787  0.2787  1 Os 2.64
Y  0.9942  0.1923  0.8102  4 Ag 3.36-3.49, 1 Os 3.43, 6 Y 3.51-3.61
Y  0.9942  0.8102  0.1923  4 Ag 3.36-3.49, 1 Os 3.43, 6 Y 3.51-3.61
Y  0.7590  0.7233  0.7233  1 Os 2.67
Y  0.2870  0.8458  0.6182  1 Os 2.82, 1 Ag 3.03
Y  0.2870  0.6182  0.8458  1 Os 2.82, 1 Ag 3.03
Ag  0.4905  0.7253  0.2986  4 Y 2.96-3.26
Ag  0.4905  0.2986  0.7253  4 Y 2.96-3.26
Os  0.2663  0.0060  0.0060  6 Y 2.64-2.82



Which formula does entry 9 have? YAgOs2



formation energy from the elements of number 10 (YAgOs2)? 0.54 eV/atom